Computed, not measured: Cs2Pu2S5 after structural relaxation at the GGA-PBE level of DFT.

Properties
Formation energy without anion corrections = -12.31 eV per formula unit

Cell: 17.0269 7.6449 7.6495 Å, 90.00 90.00 90.00°
Closest atoms and distances in Å follow each position.
Space group Cmce (No. 64)
Unique sites:
Cs (0.2056, 0.0000, 0.0000) [8 per cell]  7 S 3.45-3.65
Pu (0.0000, 0.1676, 0.3329) [8 per cell]  8 S 2.68-2.92
S (0.0000, 0.0000, 0.0000) [4 per cell]  4 Pu 2.85
S (0.1000, 0.1418, 0.6416) [16 per cell]  3 Pu 2.68-2.92

---

Computed, not measured: CsHg3Se3 after structural relaxation at the GGA-PBE level of DFT.

Properties
Offset from the most stable computed form = 0.03 eV/f.u.
Formation energy without anion corrections = -2.60 eV per formula unit

Cell: 7.9048 7.9048 7.9048 Å, 90.00 90.00 90.00°
Closest atoms and distances in Å follow each position.
Space group Pm-3n (No. 223)
Unique sites:
Cs (0.0000, 0.0000, 0.0000) [2 per cell]  12 Hg 4.42, 12 Se 4.42
Hg (0.0000, 0.2500, 0.5000) [6 per cell]  4 Se 2.79
Se (0.0000, 0.5000, 0.2500) [6 per cell]  4 Hg 2.79

---

Computed, not measured: MnRe2Ni after structural relaxation at the GGA-PBE level of DFT.

Properties
Offset from the most stable computed form = 0.13 eV/f.u.
Energy relative to the elements = 0.049 eV/atom

Cell: 2.6568 3.6945 5.2883 Å, 90.00 90.12 90.00°
Closest atoms and distances in Å follow each position.
Space group P2/m (No. 10)
Unique sites:
Mn (0.0000, 0.0000, 0.0000) [1 per cell]  8 Re 2.61-2.62, 2 Ni 2.64, 2 Mn 2.66
Re (0.4979, 0.5000, 0.2438) [2 per cell]  4 Re 2.58-2.71, 4 Mn 2.61-2.62, 4 Ni 2.65
Ni (0.0000, 0.0000, 0.5000) [1 per cell]  2 Mn 2.64, 8 Re 2.65, 2 Ni 2.66

---

Computed, not measured: PrNd6DyHo2 after structural relaxation at the GGA-PBE level of DFT.

Properties
Energy relative to the elements = 0.113 eV/atom

Cell: 9.3442 15.3077 9.7039 Å, 90.00 97.04 90.00°
Closest atoms and distances in Å follow each position.
Space group C2/c (No. 15)
Unique sites:
Pr (0.0000, 0.0287, 0.2500) [4 per cell]  4 Ho 3.45-3.51, 6 Nd 3.60-3.85
Nd (0.0633, 0.1784, 0.9446) [8 per cell]  7 Nd 3.48-3.82, 1 Ho 3.55, 2 Pr 3.70-3.85
Nd (0.0961, 0.3904, 0.1179) [8 per cell]  4 Nd 3.30-3.65, 3 Ho 3.33-3.50, 2 Dy 3.47-3.59
Nd (0.2146, 0.2235, 0.3144) [8 per cell]  3 Nd 3.30-3.67, 1 Dy 3.48, 1 Ho 3.49, 1 Pr 3.60
Dy (0.0000, 0.4107, 0.7500) [4 per cell]  6 Nd 3.47-3.59, 2 Ho 3.55
Ho (0.2490, 0.4511, 0.4519) [8 per cell]  5 Nd 3.33-3.55, 2 Pr 3.45-3.51, 1 Dy 3.55

---

Total moment values (in μB/f.u.) by entry order: 8.00; 0.00; 0.25; 0.00.